The following is a DFT calculation (PBE-GGA) of a relaxed structure of NpBrClF.

As for the uncorrected formation energy: -2.175 eV/atom. The final energy comes out at -81.09 eV/cell. Its crystal system is trigonal. As for the total magnetic moment: 12.00 μB per cell.

The space group is R3m (No. 160, hexagonal axes) and the conventional cell measures 4.1427, 4.1427 and 21.7678 Å, with angles of 90.00, 90.00 and 120.00 degrees. The asymmetric unit holds Np at (0.0000, 0.0000, 0.0000), Br at (0.0000, 0.0000, 0.5753), Cl at (0.0000, 0.0000, 0.7461) and F at (0.0000, 0.0000, 0.3322).

***

The following is a DFT calculation (PBE-GGA) of a relaxed structure of KPS2F.

As for the uncorrected formation energy: 0.190 eV/atom. The final energy comes out at -15.68 eV/cell. The relative energy among the computed polymorphs is 0 meV per atom. Its crystal system is tetragonal. As for the total magnetic moment: 1.22 μB per cell.

The space group is P4/mmm (No. 123) and the conventional cell measures 5.512, 5.512 and 3.706 Å, with angles of 90.00, 90.00 and 90.00 degrees. The asymmetric unit holds K at (0.000, 0.000, 0.000), P at (0.500, 0.500, 0.000), S at (0.000, 0.500, 0.500) and F at (0.500, 0.500, 0.500).

***

The following is a DFT calculation (PBE-GGA) of a relaxed structure of Cs2RbZn2H6.

The final energy comes out at -53.82 eV/cell. Its crystal system is monoclinic. As for the total magnetic moment: 1.91 μB per cell.

The space group is C2/m (No. 12) and the conventional cell measures 11.496, 6.180 and 8.043 Å, with angles of 90.00, 122.17 and 90.00 degrees. The asymmetric unit holds Cs at (0.207, 0.000, 0.191), Rb at (0.000, 0.000, 0.500), Zn at (0.034, 0.500, 0.196), H at (0.041, 0.275, 0.801) and H at (0.204, 0.500, 0.333).